No. 1
# LaTl2GeS4, optimized geometry, DFT PBE
data_LaTl2GeS4
_chemical_formula_sum 'La2 Tl4 Ge2 S8'
_cell_length_a 8.3742
_cell_length_b 8.3742
_cell_length_c 8.3742
_cell_angle_alpha 120.86
_cell_angle_beta 118.86
_cell_angle_gamma 90.25
_symmetry_space_group_name_H-M 'P 1'
_symmetry_Int_Tables_number 1
loop_
_symmetry_equiv_pos_as_xyz
'x,y,z'
loop_
_atom_site_label
_atom_site_type_symbol
_atom_site_fract_x
_atom_site_fract_y
_atom_site_fract_z
_atom_site_occupancy
La1 La 0.0000 0.0000 0.0000 1
La2 La 0.5000 0.0000 0.5000 1
Tl1 Tl 0.0000 0.5000 0.5000 1
Tl2 Tl 0.5000 0.0000 0.0000 1
Tl3 Tl 0.5000 0.5000 0.0000 1
Tl4 Tl 0.5000 0.5000 0.5000 1
Ge1 Ge 0.0000 0.0000 0.5000 1
Ge2 Ge 0.0000 0.5000 0.0000 1
S1 S 0.2044 0.2422 0.9622 1
S2 S 0.2200 0.7578 0.4622 1
S3 S 0.2290 0.2101 0.4811 1
S4 S 0.2290 0.7479 0.0189 1
S5 S 0.7710 0.2521 0.9811 1
S6 S 0.7710 0.7899 0.5189 1
S7 S 0.7800 0.2422 0.5378 1
S8 S 0.7956 0.7578 0.0378 1
# * uncorrected energy: -4.644 eV/atom
# * N(E_F): 5.847 states/eV/f.u.
# * volume: 416 Å³ per cell
# * E_form (uncorrected): -0.80 eV per atom
# * space-group type: Imma, No. 74
# * total moment: 0.000 μB/atom



No. 2
# La4GeSb, optimized geometry, DFT PBE
data_La4GeSb
_chemical_formula_sum 'La8 Ge2 Sb2'
_cell_length_a 6.7027
_cell_length_b 6.6948
_cell_length_c 9.2083
_cell_angle_alpha 90.00
_cell_angle_beta 109.69
_cell_angle_gamma 90.00
_symmetry_space_group_name_H-M 'P 1'
_symmetry_Int_Tables_number 1
loop_
_symmetry_equiv_pos_as_xyz
'x,y,z'
loop_
_atom_site_label
_atom_site_type_symbol
_atom_site_fract_x
_atom_site_fract_y
_atom_site_fract_z
_atom_site_occupancy
La1 La 0.0047 0.0025 0.2847 1
La2 La 0.0047 0.4975 0.2847 1
La3 La 0.3824 0.7500 0.0906 1
La4 La 0.4210 0.7500 0.6119 1
La5 La 0.5790 0.2500 0.3881 1
La6 La 0.6176 0.2500 0.9094 1
La7 La 0.9953 0.5025 0.7153 1
La8 La 0.9953 0.9975 0.7153 1
Ge1 Ge 0.2899 0.2500 0.5807 1
Ge2 Ge 0.7101 0.7500 0.4193 1
Sb1 Sb 0.2172 0.2500 0.0469 1
Sb2 Sb 0.7828 0.7500 0.9531 1
# * uncorrected energy: -5.465 eV/atom
# * N(E_F): 7.520 states/eV/f.u.
# * volume: 389 Å³ per cell
# * E_form (uncorrected): -0.72 eV per atom
# * space-group type: P2_1/m, No. 11
# * total moment: 0.000 μB/atom



No. 3
# La8Ge5Sb, optimized geometry, DFT PBE
data_La8Ge5Sb
_chemical_formula_sum 'La8 Ge5 Sb1'
_cell_length_a 8.1710
_cell_length_b 8.1710
_cell_length_c 8.1710
_cell_angle_alpha 109.32
_cell_angle_beta 109.32
_cell_angle_gamma 109.78
_symmetry_space_group_name_H-M 'P 1'
_symmetry_Int_Tables_number 1
loop_
_symmetry_equiv_pos_as_xyz
'x,y,z'
loop_
_atom_site_label
_atom_site_type_symbol
_atom_site_fract_x
_atom_site_fract_y
_atom_site_fract_z
_atom_site_occupancy
La1 La 0.1255 0.2450 0.7480 1
La2 La 0.1306 0.7339 0.7433 1
La3 La 0.2661 0.0094 0.3967 1
La4 La 0.4970 0.3775 0.2520 1
La5 La 0.6127 0.8694 0.6033 1
La6 La 0.6225 0.8745 0.1195 1
La7 La 0.7550 0.5030 0.8805 1
La8 La 0.9906 0.3873 0.2567 1
Ge1 Ge 0.2472 0.6247 0.1236 1
Ge2 Ge 0.3753 0.4989 0.6225 1
Ge3 Ge 0.5011 0.1236 0.8764 1
Ge4 Ge 0.7500 0.2500 0.5000 1
Ge5 Ge 0.8764 0.7528 0.3775 1
Sb1 Sb 0.0000 0.0000 0.0000 1
# * uncorrected energy: -5.643 eV/atom
# * N(E_F): 7.711 states/eV/f.u.
# * volume: 420 Å³ per cell
# * E_form (uncorrected): -0.88 eV per atom
# * space-group type: I-4, No. 82
# * total moment: 0.000 μB/atom



No. 4
# La2Ge2Sb, optimized geometry, DFT PBE
data_La2Ge2Sb
_chemical_formula_sum 'La4 Ge4 Sb2'
_cell_length_a 8.2031
_cell_length_b 8.2031
_cell_length_c 4.1932
_cell_angle_alpha 90.00
_cell_angle_beta 90.00
_cell_angle_gamma 90.00
_symmetry_space_group_name_H-M 'P 1'
_symmetry_Int_Tables_number 1
loop_
_symmetry_equiv_pos_as_xyz
'x,y,z'
loop_
_atom_site_label
_atom_site_type_symbol
_atom_site_fract_x
_atom_site_fract_y
_atom_site_fract_z
_atom_site_occupancy
La1 La 0.1354 0.3646 0.0000 1
La2 La 0.3646 0.8646 0.0000 1
La3 La 0.6354 0.1354 0.0000 1
La4 La 0.8646 0.6354 0.0000 1
Ge1 Ge 0.1751 0.6751 0.5000 1
Ge2 Ge 0.3249 0.1751 0.5000 1
Ge3 Ge 0.6751 0.8249 0.5000 1
Ge4 Ge 0.8249 0.3249 0.5000 1
Sb1 Sb 0.0000 0.0000 0.0000 1
Sb2 Sb 0.5000 0.5000 0.0000 1
# * uncorrected energy: -5.109 eV/atom
# * N(E_F): 4.200 states/eV/f.u.
# * volume: 282 Å³ per cell
# * E_form (uncorrected): -0.47 eV per atom
# * space-group type: P4/mbm, No. 127
# * total moment: 0.000 μB/atom
# * excess energy over the best structure of this formula in the dataset: 0.362 eV per atom



No. 5
# LaGe2Sb2, optimized geometry, DFT PBE
data_LaGe2Sb2
_chemical_formula_sum 'La1 Ge2 Sb2'
_cell_length_a 7.6060
_cell_length_b 7.6060
_cell_length_c 7.6060
_cell_angle_alpha 146.33
_cell_angle_beta 146.33
_cell_angle_gamma 48.36
_symmetry_space_group_name_H-M 'P 1'
_symmetry_Int_Tables_number 1
loop_
_symmetry_equiv_pos_as_xyz
'x,y,z'
loop_
_atom_site_label
_atom_site_type_symbol
_atom_site_fract_x
_atom_site_fract_y
_atom_site_fract_z
_atom_site_occupancy
La1 La 0.0000 0.0000 0.0000 1
Ge1 Ge 0.4129 0.4129 0.0000 1
Ge2 Ge 0.5871 0.5871 0.0000 1
Sb1 Sb 0.2500 0.7500 0.5000 1
Sb2 Sb 0.7500 0.2500 0.5000 1
# * uncorrected energy: -4.652 eV/atom
# * N(E_F): 3.083 states/eV/f.u.
# * volume: 135 Å³ per cell
# * E_form (uncorrected): -0.17 eV per atom
# * space-group type: I4/mmm, No. 139
# * total moment: 0.000 μB/atom
# * excess energy over the best structure of this formula in the dataset: 0.108 eV per atom



No. 6
# La5Ge2Sb, optimized geometry, DFT PBE
data_La5Ge2Sb
_chemical_formula_sum 'La10 Ge4 Sb2'
_cell_length_a 9.2172
_cell_length_b 9.2172
_cell_length_c 9.2172
_cell_angle_alpha 126.46
_cell_angle_beta 126.46
_cell_angle_gamma 79.13
_symmetry_space_group_name_H-M 'P 1'
_symmetry_Int_Tables_number 1
loop_
_symmetry_equiv_pos_as_xyz
'x,y,z'
loop_
_atom_site_label
_atom_site_type_symbol
_atom_site_fract_x
_atom_site_fract_y
_atom_site_fract_z
_atom_site_occupancy
La1 La 0.0000 0.0000 0.0000 1
La2 La 0.0165 0.5165 0.8161 1
La3 La 0.2004 0.0165 0.5000 1
La4 La 0.2996 0.7996 0.8161 1
La5 La 0.4835 0.2996 0.5000 1
La6 La 0.5000 0.5000 0.0000 1
La7 La 0.5165 0.7004 0.5000 1
La8 La 0.7004 0.2004 0.1839 1
La9 La 0.7996 0.9835 0.5000 1
La10 La 0.9835 0.4835 0.1839 1
Ge1 Ge 0.1433 0.3567 0.5000 1
Ge2 Ge 0.3567 0.8567 0.2134 1
Ge3 Ge 0.6433 0.1433 0.7866 1
Ge4 Ge 0.8567 0.6433 0.5000 1
Sb1 Sb 0.2500 0.2500 0.0000 1
Sb2 Sb 0.7500 0.7500 0.0000 1
# * uncorrected energy: -5.565 eV/atom
# * N(E_F): 9.934 states/eV/f.u.
# * volume: 490 Å³ per cell
# * E_form (uncorrected): -0.82 eV per atom
# * space-group type: I4/mcm, No. 140
# * total moment: 0.204 μB/atom



No. 7
# LaGe3Sb, optimized geometry, DFT PBE
data_LaGe3Sb
_chemical_formula_sum 'La1 Ge3 Sb1'
_cell_length_a 5.6079
_cell_length_b 5.6079
_cell_length_c 5.6079
_cell_angle_alpha 90.00
_cell_angle_beta 90.00
_cell_angle_gamma 90.00
_symmetry_space_group_name_H-M 'P 1'
_symmetry_Int_Tables_number 1
loop_
_symmetry_equiv_pos_as_xyz
'x,y,z'
loop_
_atom_site_label
_atom_site_type_symbol
_atom_site_fract_x
_atom_site_fract_y
_atom_site_fract_z
_atom_site_occupancy
La1 La 0.0000 0.0000 0.0000 1
Ge1 Ge 0.0000 0.0000 0.5000 1
Ge2 Ge 0.0000 0.5000 0.0000 1
Ge3 Ge 0.5000 0.0000 0.0000 1
Sb1 Sb 0.5000 0.5000 0.5000 1
# * uncorrected energy: -3.632 eV/atom
# * N(E_F): 5.358 states/eV/f.u.
# * volume: 176 Å³ per cell
# * E_form (uncorrected): 0.95 eV per atom
# * space-group type: Pm-3m, No. 221
# * total moment: 0.000 μB/atom
# * excess energy over the best structure of this formula in the dataset: 0.576 eV per atom



No. 8
# LaGe3Sb, optimized geometry, DFT PBE
data_LaGe3Sb
_chemical_formula_sum 'La1 Ge3 Sb1'
_cell_length_a 5.2774
_cell_length_b 5.2774
_cell_length_c 5.2774
_cell_angle_alpha 90.00
_cell_angle_beta 90.00
_cell_angle_gamma 90.00
_symmetry_space_group_name_H-M 'P 1'
_symmetry_Int_Tables_number 1
loop_
_symmetry_equiv_pos_as_xyz
'x,y,z'
loop_
_atom_site_label
_atom_site_type_symbol
_atom_site_fract_x
_atom_site_fract_y
_atom_site_fract_z
_atom_site_occupancy
La1 La 0.0000 0.0000 0.0000 1
Ge1 Ge 0.0000 0.5000 0.5000 1
Ge2 Ge 0.5000 0.0000 0.5000 1
Ge3 Ge 0.5000 0.5000 0.0000 1
Sb1 Sb 0.5000 0.5000 0.5000 1
# * uncorrected energy: -4.207 eV/atom
# * N(E_F): 5.381 states/eV/f.u.
# * volume: 147 Å³ per cell
# * E_form (uncorrected): 0.37 eV per atom
# * space-group type: Pm-3m, No. 221
# * total moment: 0.000 μB/atom
# * excess energy over the best structure of this formula in the dataset: 0.000 eV per atom